Density functional theory data (PBE-GGA) for an optimized crystal structure of ZrCd2Sn.

## Properties
ρ = 8.0 Mg/m³
Space-group type = No. 216
M_tot = 0.116 μB per atom
Uncorrected energy = -3.49 eV/atom

abc: 5.041 5.041 5.041
angles: 60.00 60.00 60.00
Last column: magnetic moment on the atom in μB.
Fractional positions:
Cd  0.000  0.000  0.000  0.00
Cd  0.750  0.750  0.750  0.01
Sn  0.500  0.500  0.500  0.03
Zr  0.250  0.250  0.250  0.25

Density functional theory data (PBE-GGA) for an optimized crystal structure of Zr2CdSn.

## Properties
ρ = 7.5 Mg/m³
Space-group type = No. 216
M_tot = 0.342 μB per atom
Uncorrected energy = -5.33 eV/atom

abc: 5.050 5.050 5.050
angles: 60.00 60.00 60.00
Last column: magnetic moment on the atom in μB.
Fractional positions:
Cd  0.250  0.250  0.250  -0.01
Sn  0.500  0.500  0.500  -0.04
Zr  0.000  0.000  0.000  0.58
Zr  0.750  0.750  0.750  0.43

Density functional theory data (PBE-GGA) for an optimized crystal structure of ZrCdSn.

## Properties
ρ = 7.0 Mg/m³
Space-group type = No. 216
M_tot = 0.001 μB per atom
Uncorrected energy = -4.33 eV/atom

abc: 4.765 4.765 4.765
angles: 60.00 60.00 60.00
Fractional positions:
Cd  0.250  0.250  0.250
Sn  0.000  0.000  0.000
Zr  0.750  0.750  0.750

Q: The lowest uncorrected energy belongs to which entry?
A: Zr2CdSn

Q: ρ of number 3 (ZrCdSn)?
A: 7.0 Mg/m³